DFT (PBE+U) results for an optimized crystal structure of MgAlV2O6.

Cell and atoms, written as POSCAR:
```
MgAlV2O6
1.0
-0.640 3.636 3.111
1.657 -2.792 3.604
4.514 1.546 -0.877
O Al V Mg
6 1 2 1
Direct
0.164 0.500 0.500 O
0.747 0.243 0.757 O
0.223 0.000 0.000 O
0.747 0.757 0.757 O
0.747 0.757 0.243 O
0.747 0.243 0.243 O
0.590 0.000 0.000 Al
0.960 0.500 0.000 V
0.960 0.000 0.500 V
0.562 0.500 0.500 Mg
```

Results
The calculated density is 3.64 g/cm³. Its uncorrected energy is -6.936 eV/atom. For the calculated volume, the calculation gives 11.36 A^3/atom.